Entry from Alexandria: an optimized crystal structure of CuRePt (PBE-GGA).

abc: 3.7288 12.0389 3.8641
angles: 90.00 90.00 90.00
Fractional coordinates of all 12 atoms:
1 Re 0.5000 0.0000 0.8270
2 Re 0.5000 0.5000 0.3270
3 Re 0.0000 0.0000 0.3960
4 Re 0.0000 0.5000 0.8960
5 Cu 0.5000 0.3339 0.8799
6 Cu 0.5000 0.6661 0.8799
7 Cu 0.5000 0.8339 0.3799
8 Cu 0.5000 0.1661 0.3799
9 Pt 0.0000 0.8361 0.8916
10 Pt 0.0000 0.1639 0.8916
11 Pt 0.0000 0.3361 0.3916
12 Pt 0.0000 0.6639 0.3916

Calculated values
ΔE_f   57 meV/atom
DFT total energy   -7.471 eV/atom
Excess energy over the best structure of this formula in the dataset   164 meV per atom


Entry from Alexandria: an optimized crystal structure of CuRePt2 (PBE-GGA).

abc: 4.3644 4.3644 4.3644
angles: 60.00 60.00 60.00
Fractional coordinates of all 4 atoms:
1 Cu 0.5000 0.5000 0.5000
2 Pt 0.0000 0.0000 0.0000
3 Pt 0.2500 0.2500 0.2500
4 Re 0.7500 0.7500 0.7500

Calculated values
ΔE_f   200 meV/atom
DFT total energy   -6.956 eV/atom
Excess energy over the best structure of this formula in the dataset   361 meV per atom


Entry from Alexandria: an optimized crystal structure of CuRePt (PBE-GGA).

abc: 4.2256 2.7335 7.4667
angles: 90.00 90.00 90.00
Fractional coordinates of all 6 atoms:
1 Re 0.5000 0.5000 0.3049
2 Re 0.0000 0.0000 0.4363
3 Cu 0.0000 0.5000 0.7606
4 Cu 0.5000 0.5000 0.9549
5 Pt 0.5000 0.0000 0.6491
6 Pt 0.0000 0.0000 0.0859

Calculated values
ΔE_f   22 meV/atom
DFT total energy   -7.506 eV/atom
Excess energy over the best structure of this formula in the dataset   129 meV per atom


Entry from Alexandria: an optimized crystal structure of CuRe2Pt (PBE-GGA).

abc: 3.1528 3.1528 5.8565
angles: 90.00 90.00 90.00
Fractional coordinates of all 4 atoms:
1 Cu 0.0000 0.0000 0.5000
2 Pt 0.5000 0.5000 0.7254
3 Re 0.0000 0.0000 0.0193
4 Re 0.5000 0.5000 0.2553

Calculated values
ΔE_f   138 meV/atom
DFT total energy   -8.620 eV/atom
Excess energy over the best structure of this formula in the dataset   113 meV per atom


Entry from Alexandria: an optimized crystal structure of CuRePt (PBE-GGA).

abc: 4.3186 4.3186 2.6413
angles: 90.00 90.00 120.00
Fractional coordinates of all 3 atoms:
1 Cu 0.0000 0.0000 0.1681
2 Pt 0.6667 0.3333 0.1658
3 Re 0.3333 0.6667 0.6661

Calculated values
ΔE_f   150 meV/atom
DFT total energy   -7.379 eV/atom
Excess energy over the best structure of this formula in the dataset   257 meV per atom


Entry from Alexandria: an optimized crystal structure of CuRe2Pt (PBE-GGA).

abc: 2.6806 2.6806 8.0102
angles: 90.00 90.00 90.00
Fractional coordinates of all 4 atoms:
1 Cu 0.5000 0.5000 0.2500
2 Pt 0.5000 0.5000 0.7500
3 Re 0.0000 0.0000 0.0091
4 Re 0.0000 0.0000 0.4909

Calculated values
ΔE_f   216 meV/atom
DFT total energy   -8.543 eV/atom
Excess energy over the best structure of this formula in the dataset   191 meV per atom


Entry from Alexandria: an optimized crystal structure of CuRePt (PBE-GGA).

abc: 3.7574 4.0005 11.5041
angles: 90.00 90.11 90.00
Fractional coordinates of all 12 atoms:
1 Re 0.9144 0.0000 0.6822
2 Re 0.9144 0.5000 0.1822
3 Re 0.3991 0.0000 0.8342
4 Re 0.3991 0.5000 0.3342
5 Cu 0.4105 0.0000 0.5012
6 Cu 0.4105 0.5000 0.0012
7 Cu 0.9094 0.0000 0.3450
8 Cu 0.9094 0.5000 0.8450
9 Pt 0.4181 0.0000 0.1846
10 Pt 0.4181 0.5000 0.6846
11 Pt 0.9139 0.0000 0.0086
12 Pt 0.9139 0.5000 0.5086

Calculated values
ΔE_f   73 meV/atom
DFT total energy   -7.455 eV/atom
Excess energy over the best structure of this formula in the dataset   180 meV per atom


Entry from Alexandria: an optimized crystal structure of CuRePt2 (PBE-GGA).

abc: 4.7419 4.7419 4.7419
angles: 131.67 131.67 70.76
Fractional coordinates of all 4 atoms:
1 Cu 0.7500 0.2500 0.5000
2 Pt 0.0000 0.0000 0.0000
3 Pt 0.2500 0.7500 0.5000
4 Re 0.5000 0.5000 0.0000

Calculated values
ΔE_f   75 meV/atom
DFT total energy   -7.081 eV/atom
Excess energy over the best structure of this formula in the dataset   236 meV per atom


Entry from Alexandria: an optimized crystal structure of CuRePt (PBE-GGA).

abc: 5.5760 8.1747 4.6825
angles: 90.00 126.91 90.00
Fractional coordinates of all 12 atoms:
1 Re 0.7500 0.9265 0.7500
2 Re 0.2500 0.0735 0.2500
3 Re 0.7500 0.4265 0.2500
4 Re 0.2500 0.5735 0.7500
5 Cu 0.7500 0.2543 0.7500
6 Cu 0.2500 0.7457 0.2500
7 Cu 0.7500 0.7543 0.2500
8 Cu 0.2500 0.2457 0.7500
9 Pt 0.7500 0.5950 0.7500
10 Pt 0.2500 0.4050 0.2500
11 Pt 0.7500 0.0950 0.2500
12 Pt 0.2500 0.9050 0.7500

Calculated values
ΔE_f   35 meV/atom
DFT total energy   -7.493 eV/atom
Excess energy over the best structure of this formula in the dataset   142 meV per atom


Entry from Alexandria: an optimized crystal structure of CuRePt (PBE-GGA).

abc: 6.5027 2.7575 9.9277
angles: 90.00 104.93 90.00
Fractional coordinates of all 12 atoms:
1 Re 0.5260 0.0000 0.6425
2 Re 0.4740 0.0000 0.3575
3 Re 0.5260 0.5000 0.1425
4 Re 0.4740 0.5000 0.8575
5 Cu 0.1354 0.0000 0.6940
6 Cu 0.8646 0.0000 0.3060
7 Cu 0.1354 0.5000 0.1940
8 Cu 0.8646 0.5000 0.8060
9 Pt 0.1990 0.0000 0.9707
10 Pt 0.8010 0.0000 0.0293
11 Pt 0.1990 0.5000 0.4707
12 Pt 0.8010 0.5000 0.5293

Calculated values
ΔE_f   7 meV/atom
DFT total energy   -7.522 eV/atom
Excess energy over the best structure of this formula in the dataset   114 meV per atom


Entry from Alexandria: an optimized crystal structure of CuRePt3 (PBE-GGA).

abc: 4.5154 4.5154 4.5154
angles: 90.00 90.00 90.00
Fractional coordinates of all 5 atoms:
1 Re 0.5000 0.5000 0.5000
2 Cu 0.0000 0.0000 0.0000
3 Pt 0.0000 0.5000 0.0000
4 Pt 0.0000 0.0000 0.5000
5 Pt 0.5000 0.0000 0.0000

Calculated values
ΔE_f   1440 meV/atom
DFT total energy   -5.493 eV/atom
Excess energy over the best structure of this formula in the dataset   72 meV per atom


Entry from Alexandria: an optimized crystal structure of CuRe2Pt (PBE-GGA).

abc: 4.0587 2.7080 5.9181
angles: 62.94 90.00 90.00
Fractional coordinates of all 4 atoms:
1 Cu 0.5000 0.2500 0.2500
2 Pt 0.5000 0.7500 0.7500
3 Re 0.0000 0.9855 0.0184
4 Re 0.0000 0.5145 0.4816

Calculated values
ΔE_f   174 meV/atom
DFT total energy   -8.585 eV/atom
Excess energy over the best structure of this formula in the dataset   149 meV per atom